Below is an optimized crystal structure of HfPaPdO6, with properties calculated at the PBE-GGA level.

a b c (Å): 5.289 5.289 4.958
angles (deg): 90.00 90.00 120.00
Positions (direct):
Hf1 0.000 0.000 0.000
Pa1 0.667 0.333 0.500
Pd1 0.333 0.667 0.000
O1 0.328 0.002 0.237
O2 0.328 0.327 0.763
O3 0.673 0.002 0.763
O4 0.673 0.672 0.237
O5 0.998 0.327 0.237
O6 0.998 0.672 0.763

ρ = 8.5 g cm⁻³
E_form (uncorrected) = -2561.5 meV per atom
raw total energy = -77.45 eV per cell